A plane-wave DFT calculation with PBE with a Hubbard U was carried out for a relaxed VIr3O crystal.

DFT total energy = -27.61 eV/cell
Spin magnetization = 3.4 Bohr magnetons per cell

Lattice parameters (Å, degrees): 4.564 4.564 4.564 90.00 90.00 90.00
Space group Pm-3m (No. 221)
Asymmetric unit:
V 0.000 0.000 0.000 (multiplicity 1)
Ir 0.000 0.000 0.500 (multiplicity 3)
O 0.500 0.500 0.500 (multiplicity 1)